# Li3Mn4O8 | the Alexandria database | GGA+U | optimized geometry
data_Li3Mn4O8
_cell_length_a 10.011
_cell_length_b 5.741
_cell_length_c 6.798
_cell_angle_alpha 90.00
_cell_angle_beta 131.01
_cell_angle_gamma 90.00
_symmetry_space_group_name_H-M 'C 1 2/m 1'
_symmetry_Int_Tables_number 12
loop_
_symmetry_equiv_pos_as_xyz
'x,y,z'
'-x,-y,-z'
'-x,y,-z'
'x,-y,z'
'x+1/2,y+1/2,z'
'-x+1/2,-y+1/2,-z'
'-x+1/2,y+1/2,-z'
'x+1/2,-y+1/2,z'
loop_
_atom_site_label
_atom_site_fract_x
_atom_site_fract_y
_atom_site_fract_z
Li1 0.000 0.000 0.000
Li2 0.000 0.232 0.500
Mn1 0.208 0.500 0.968
Mn2 0.250 0.250 0.500
O1 0.072 0.500 0.351
O2 0.077 0.000 0.355
O3 0.237 0.241 0.179
# - magnetization (Bohr magnetons per cell) = 30.00
# - final energy (eV per cell) = -201.06